Sc2TaRe | GGA-PBE | optimized geometry

Computed properties:
The symmetry is R-3m. Its offset from the most stable computed form is 619.4 meV/atom. The crystal system is trigonal. As for the final energy: -34.9 eV for the cell shown. As for the volume: 77 Å³ per cell. The formation energy comes out at 196 kJ/mol of formula units.

Cell: 10.377 10.377 10.377 Å, 16.31 16.31 16.31°
Sites, in units of the cell vectors:
Sc1 0.914 0.914 0.914
Sc2 0.086 0.086 0.086
Re1 0.000 0.000 0.000
Ta1 0.500 0.500 0.500